No. 1
Material: Pr5Ho6Tm2
Method: DFT, PBE
State: optimized geometry

CIF file:
```
data_Pr5Ho6Tm2
_space_group_name_H-M_alt 'P b a m'
_space_group_IT_number 55
_space_group_name_Hall '-P 2 2ab'
_cell_length_a 11.645
_cell_length_b 20.614
_cell_length_c 3.607
_cell_angle_alpha 90.00
_cell_angle_beta 90.00
_cell_angle_gamma 90.00
loop_
_atom_site_label
_atom_site_fract_x
_atom_site_fract_y
_atom_site_fract_z
_atom_site_occupancy
Pr1 0.000 0.000 0.000 1
Pr2 0.083 0.273 0.000 1
Pr3 0.198 0.552 0.000 1
Ho1 0.063 0.419 0.500 1
Ho2 0.081 0.132 0.500 1
Ho3 0.175 0.860 0.000 1
Tm1 0.172 0.711 0.500 1
```

Formation enthalpy at 0 K   1.2 eV/f.u.



No. 2
Material: MgIrS2Cl
Method: DFT, PBE
State: optimized geometry

CIF file:
```
data_MgIrS2Cl
_space_group_name_H-M_alt 'P 4/m m m'
_space_group_IT_number 123
_space_group_name_Hall '-P 4 2'
_cell_length_a 4.699
_cell_length_b 4.699
_cell_length_c 4.791
_cell_angle_alpha 90.00
_cell_angle_beta 90.00
_cell_angle_gamma 90.00
loop_
_atom_site_label
_atom_site_fract_x
_atom_site_fract_y
_atom_site_fract_z
_atom_site_occupancy
Mg1 0.000 0.000 0.000 1
Ir1 0.500 0.500 0.500 1
S1 0.000 0.500 0.500 1
Cl1 0.500 0.500 0.000 1
```

E above lowest polymorph   0 meV/atom
Raw formation energy   0.02 eV/atom



No. 3
Material: GaOs2RuSe
Method: DFT, PBE
State: optimized geometry

CIF file:
```
data_GaOs2RuSe
_space_group_name_H-M_alt 'P 4/m m m'
_space_group_IT_number 123
_space_group_name_Hall '-P 4 2'
_cell_length_a 4.530
_cell_length_b 4.530
_cell_length_c 4.521
_cell_angle_alpha 90.00
_cell_angle_beta 90.00
_cell_angle_gamma 90.00
loop_
_atom_site_label
_atom_site_fract_x
_atom_site_fract_y
_atom_site_fract_z
_atom_site_occupancy
Ga1 0.000 0.000 0.000 1
Os1 0.000 0.500 0.500 1
Ru1 0.500 0.500 0.000 1
Se1 0.500 0.500 0.500 1
```

Raw formation energy   1.48 eV/atom



No. 4
Material: CsKCe2I8
Method: DFT, PBE
State: optimized geometry

CIF file:
```
data_CsKCe2I8
_space_group_name_H-M_alt 'P -3'
_space_group_IT_number 147
_space_group_name_Hall '-P 3'
_cell_length_a 8.5520
_cell_length_b 8.5520
_cell_length_c 9.5057
_cell_angle_alpha 90.00
_cell_angle_beta 90.00
_cell_angle_gamma 120.00
loop_
_atom_site_label
_atom_site_fract_x
_atom_site_fract_y
_atom_site_fract_z
_atom_site_occupancy
Cs1 0.0000 0.0000 0.0000 1
K1 0.0000 0.0000 0.5000 1
Ce1 0.3333 0.6667 0.4128 1
I1 0.0612 0.3851 0.6585 1
I2 0.3333 0.6667 0.0915 1
```

Raw formation energy   -1.35 eV/atom



No. 5
Material: DyGaAg2
Method: DFT, PBE
State: optimized geometry

CIF file:
```
data_DyGaAg2
_space_group_name_H-M_alt 'P 4/m m m'
_space_group_IT_number 123
_space_group_name_Hall '-P 4 2'
_cell_length_a 3.675
_cell_length_b 3.675
_cell_length_c 6.248
_cell_angle_alpha 90.00
_cell_angle_beta 90.00
_cell_angle_gamma 90.00
loop_
_atom_site_label
_atom_site_fract_x
_atom_site_fract_y
_atom_site_fract_z
_atom_site_occupancy
Dy1 0.000 0.000 0.000 1
Ga1 0.000 0.000 0.500 1
Ag1 0.500 0.500 0.262 1
```

Formation enthalpy at 0 K   -0.7 eV/f.u.
E above lowest polymorph   151 meV/atom



No. 6
Material: BaTcIr2Pt
Method: DFT, PBE
State: optimized geometry

CIF file:
```
data_BaTcIr2Pt
_space_group_name_H-M_alt 'P 4/m m m'
_space_group_IT_number 123
_space_group_name_Hall '-P 4 2'
_cell_length_a 5.030
_cell_length_b 5.030
_cell_length_c 4.786
_cell_angle_alpha 90.00
_cell_angle_beta 90.00
_cell_angle_gamma 90.00
loop_
_atom_site_label
_atom_site_fract_x
_atom_site_fract_y
_atom_site_fract_z
_atom_site_occupancy
Ba1 0.000 0.000 0.000 1
Tc1 0.500 0.500 0.000 1
Ir1 0.000 0.500 0.500 1
Pt1 0.500 0.500 0.500 1
```

Formation enthalpy at 0 K   5.7 eV/f.u.



No. 7
Material: LiLuThSc
Method: DFT, PBE
State: optimized geometry

CIF file:
```
data_LiLuThSc
_space_group_name_H-M_alt 'F -4 3 m'
_space_group_IT_number 216
_space_group_name_Hall 'F -4 2 3'
_cell_length_a 7.520
_cell_length_b 7.520
_cell_length_c 7.520
_cell_angle_alpha 90.00
_cell_angle_beta 90.00
_cell_angle_gamma 90.00
loop_
_atom_site_label
_atom_site_fract_x
_atom_site_fract_y
_atom_site_fract_z
_atom_site_occupancy
Li1 0.000 0.000 0.000 1
Lu1 0.250 0.250 0.750 1
Th1 0.250 0.250 0.250 1
Sc1 0.000 0.000 0.500 1
```

Formation enthalpy at 0 K   0.8 eV/f.u.



No. 8
Material: Ac5Nd3H12
Method: DFT, PBE
State: optimized geometry

CIF file:
```
data_Ac5Nd3H12
_space_group_name_H-M_alt 'I a -3 d'
_space_group_IT_number 230
_space_group_name_Hall '-I 4bd 2c 3'
_cell_length_a 14.250
_cell_length_b 14.250
_cell_length_c 14.250
_cell_angle_alpha 90.00
_cell_angle_beta 90.00
_cell_angle_gamma 90.00
loop_
_atom_site_label
_atom_site_fract_x
_atom_site_fract_y
_atom_site_fract_z
_atom_site_occupancy
Ac1 0.000 0.000 0.000 1
Ac2 0.000 0.250 0.375 1
Nd1 0.000 0.250 0.125 1
H1 0.003 0.074 0.158 1
```



Number 1: E -4.5431 eV/atom. Number 2: E -4.0899 eV/atom. Number 3: E -6.1707 eV/atom. Number 4: E -3.5362 eV/atom. Number 5: E -3.5136 eV/atom. Number 6: E -6.0604 eV/atom. Number 7: E -4.8529 eV/atom. Number 8: E -4.1190 eV/atom.